No. 1
First-principles (PBE-GGA) data for an optimized crystal structure of PmCuRu, as listed in Alexandria.

Structure (extended XYZ):
```
6
Lattice="2.493 -4.017 0.000 2.493 4.017 0.000 0.000 0.000 5.599" Properties=species:S:1:pos:R:3 pbc="T T T"
Pm 2.493 2.763 4.199
Pm 2.493 -2.763 1.400
Cu 2.493 2.424 1.400
Cu 2.493 -2.424 4.199
Ru 2.493 0.000 0.000
Ru 2.493 0.000 2.799
```

## Properties
The distance to the lowest polymorph of the same formula is 22.50 kJ per mole of atoms. For the total energy, the calculation gives -36.116 eV per cell. As for the space-group type: No. 63.

---

No. 2
First-principles (PBE-GGA) data for an optimized crystal structure of PmCuRu, as listed in Alexandria.

Structure (extended XYZ):
```
3
Lattice="-1.723 1.723 4.753 1.723 -1.723 4.753 1.723 1.723 -4.753" Properties=species:S:1:pos:R:3 pbc="T T T"
Pm 0.000 0.000 0.000
Cu 0.000 0.000 6.694
Ru 0.000 0.000 2.928
```

## Properties
The distance to the lowest polymorph of the same formula is 24.39 kJ per mole of atoms. For the total energy, the calculation gives -17.999 eV per cell. As for the space-group type: No. 107.

---

No. 3
First-principles (PBE-GGA) data for an optimized crystal structure of Pm2CuRu3, as listed in Alexandria.

Structure (extended XYZ):
```
6
Lattice="4.618 -2.674 0.000 4.618 2.674 0.000 -3.085 0.000 4.453" Properties=species:S:1:pos:R:3 pbc="T T T"
Pm -0.004 0.000 1.630
Pm 6.155 0.000 2.823
Cu 3.076 0.000 2.227
Ru 2.309 1.337 0.000
Ru 2.309 -1.337 0.000
Ru 4.618 0.000 0.000
```

## Properties
For the total energy, the calculation gives -42.588 eV per cell. As for the space-group type: No. 12.

---

No. 4
First-principles (PBE-GGA) data for an optimized crystal structure of Pm2CuRu, as listed in Alexandria.

Structure (extended XYZ):
```
8
Lattice="5.853 0.000 0.000 0.000 4.199 0.000 -2.779 0.000 7.487" Properties=species:S:1:pos:R:3 pbc="T T T"
Pm 0.041 1.050 3.272
Pm -1.258 1.050 6.902
Pm 4.332 3.149 0.585
Pm 3.032 3.149 4.215
Cu 1.491 3.149 1.600
Cu 1.582 1.050 5.888
Ru 0.078 3.149 5.374
Ru 2.995 1.050 2.113
```

## Properties
The distance to the lowest polymorph of the same formula is 0.00 kJ per mole of atoms. For the total energy, the calculation gives -47.738 eV per cell. As for the space-group type: No. 11.

---

No. 5
First-principles (PBE-GGA) data for an optimized crystal structure of Pm4CuRu2, as listed in Alexandria.

Structure (extended XYZ):
```
7
Lattice="2.473 1.428 8.037 -2.473 1.428 8.037 0.000 -2.856 8.037" Properties=species:S:1:pos:R:3 pbc="T T T"
Pm 0.000 0.000 2.962
Pm 0.000 0.000 8.997
Pm 0.000 0.000 15.114
Pm 0.000 0.000 21.149
Cu 0.000 0.000 12.055
Ru 0.000 0.000 5.986
Ru 0.000 0.000 18.125
```

## Properties
The distance to the lowest polymorph of the same formula is 0.00 kJ per mole of atoms. For the total energy, the calculation gives -43.083 eV per cell. As for the space-group type: No. 166.

---

No. 6
First-principles (PBE-GGA) data for an optimized crystal structure of Pm4CuRu, as listed in Alexandria.

Structure (extended XYZ):
```
6
Lattice="3.491 -3.490 0.000 3.491 3.490 0.000 -0.009 0.000 6.983" Properties=species:S:1:pos:R:3 pbc="T T T"
Pm 5.230 -1.749 1.695
Pm 1.743 1.749 5.288
Pm 5.230 1.749 1.695
Pm 1.743 -1.749 5.288
Cu -0.004 0.000 3.491
Ru 3.491 0.000 0.000
```

## Properties
The distance to the lowest polymorph of the same formula is 8.97 kJ per mole of atoms. For the total energy, the calculation gives -32.664 eV per cell. As for the space-group type: No. 12.

---

Number 1: formation enthalpy at 0 K 0.022 eV per atom. Number 2: formation enthalpy at 0 K 0.041 eV per atom. Number 3: formation enthalpy at 0 K -0.194 eV per atom. Number 4: formation enthalpy at 0 K -0.249 eV per atom. Number 5: formation enthalpy at 0 K -0.205 eV per atom. Number 6: formation enthalpy at 0 K -0.048 eV per atom.